No. 1
The following is a PBE calculation of an optimized crystal structure of Pr8GeSb2, from Alexandria via LeMat-Bulk.

Cell and atoms, written as POSCAR:
```
Pr8GeSb2
1.0
-2.283 -4.136 0.720
6.327 -2.819 3.866
-3.064 5.745 7.424
Pr Ge Sb
8 1 2
direct
0.403 0.484 0.806
0.659 0.035 0.318
0.783 0.641 0.567
0.996 0.232 0.993
0.217 0.359 0.433
0.341 0.965 0.682
0.597 0.516 0.194
0.004 0.768 0.007
0.500 0.000 0.000
0.823 0.231 0.645
0.177 0.769 0.355
```

Values from the calculation:
Magnetic moment, Bohr magnetons per cell: 0.0
Space-group type: No. 12
E_form (uncorrected), eV/atom: -0.5234
V, Å³ per cell: 361.72

No. 2
The following is a PBE calculation of an optimized crystal structure of Pr4Ge2Sb, from Alexandria via LeMat-Bulk.

Cell and atoms, written as POSCAR:
```
Pr4Ge2Sb
1.0
-2.981 2.979 6.938
-4.232 -6.537 -2.292
7.754 -2.118 1.132
Pr Ge Sb
8 4 2
direct
0.003 0.258 0.390
0.382 0.492 0.245
0.868 0.613 0.610
0.742 0.132 0.745
0.387 0.997 0.255
0.247 0.137 0.755
0.508 0.753 0.890
0.863 0.618 0.110
0.496 0.375 0.621
0.754 0.875 0.379
0.625 0.246 0.121
0.125 0.504 0.879
0.250 0.750 0.500
0.000 0.000 0.000
```

Values from the calculation:
Magnetic moment, Bohr magnetons per cell: 0.0
Space-group type: No. 122
E_form (uncorrected), eV/atom: -0.8845
V, Å³ per cell: 411.66

No. 3
The following is a PBE calculation of an optimized crystal structure of Pr2GeSb, from Alexandria via LeMat-Bulk.

Cell and atoms, written as POSCAR:
```
Pr2GeSb
1.0
-1.719 3.650 -1.751
-2.251 -0.220 -3.772
-7.574 0.021 1.955
Pr Sb Ge
2 1 1
direct
0.746 0.746 0.762
0.254 0.254 0.238
0.500 0.500 0.500
0.000 0.000 0.000
```

Values from the calculation:
Magnetic moment, Bohr magnetons per cell: 0.0
Space-group type: No. 166
Distance to the lowest polymorph of the same formula, meV per atom: 52
E_form (uncorrected), eV/atom: -0.9076
V, Å³ per cell: 123.93